[1]
Below is InGeI2Cl after structural relaxation, with properties calculated at the PBE level.

```
InGeI2Cl
1.0
5.942 0.000 0.000
0.000 5.942 0.000
0.000 0.000 5.145
In Ge I Cl
1 1 2 1
Direct
0.000 0.000 0.000
0.500 0.500 0.500
0.000 0.500 0.500
0.500 0.000 0.500
0.500 0.500 0.000
```

Computed properties:
ρ (g cm⁻³): 4.36
Formation energy without anion corrections (eV per atom): -0.452
Symmetry: P4/mmm (123)
Crystal system: tetragonal

=====

[2]
Below is InGeICl4 after structural relaxation, with properties calculated at the PBE level.

```
InGeICl4
1.0
6.263 -4.528 0.000
6.263 4.528 0.000
-5.428 0.000 9.616
In Ge I Cl
2 2 2 8
Direct
0.165 0.165 0.325
0.835 0.835 0.675
0.450 0.450 0.799
0.550 0.550 0.201
0.321 0.321 0.942
0.679 0.679 0.058
0.175 0.774 0.801
0.200 0.200 0.559
0.226 0.825 0.199
0.350 0.350 0.318
0.650 0.650 0.682
0.774 0.175 0.801
0.800 0.800 0.441
0.825 0.226 0.199
```

Computed properties:
ρ (g cm⁻³): 2.78
Formation energy without anion corrections (eV per atom): -0.813
Symmetry: C2/m (12)
Crystal system: monoclinic

=====

[3]
Below is KGeICl2 after structural relaxation, with properties calculated at the PBE level.

```
KGeICl2
1.0
5.272 0.000 0.000
0.000 5.272 0.000
0.000 0.000 5.948
K Ge I Cl
1 1 1 2
Direct
0.000 0.000 0.000
0.500 0.500 0.500
0.500 0.500 0.000
0.000 0.500 0.500
0.500 0.000 0.500
```

Computed properties:
ρ (g cm⁻³): 3.11
Formation energy without anion corrections (eV per atom): -1.069
Symmetry: P4/mmm (123)
Crystal system: tetragonal

=====

[4]
Below is KGeI2Cl after structural relaxation, with properties calculated at the PBE level.

```
KGeI2Cl
1.0
5.978 0.000 0.000
0.000 5.978 0.000
0.000 0.000 5.212
K Ge I Cl
1 1 2 1
Direct
0.000 0.000 0.000
0.500 0.500 0.500
0.000 0.500 0.500
0.500 0.000 0.500
0.500 0.500 0.000
```

Computed properties:
ρ (g cm⁻³): 3.58
Formation energy without anion corrections (eV per atom): -0.897
Symmetry: P4/mmm (123)
Crystal system: tetragonal

=====

[5]
Below is KGeI2Cl after structural relaxation, with properties calculated at the PBE level.

```
KGeI2Cl
1.0
8.989 0.000 0.000
0.000 4.512 0.000
-2.252 0.000 9.035
K Ge I Cl
2 2 4 2
Direct
0.179 0.250 0.328
0.821 0.750 0.672
0.324 0.250 0.822
0.676 0.750 0.178
0.273 0.750 0.033
0.397 0.750 0.630
0.603 0.250 0.370
0.727 0.250 0.967
0.063 0.250 0.680
0.937 0.750 0.320
```

Computed properties:
ρ (g cm⁻³): 3.63
Formation energy without anion corrections (eV per atom): -0.948
Symmetry: P2_1/m (11)
Crystal system: monoclinic

=====

[6]
Below is La8Ge3I3Cl after structural relaxation, with properties calculated at the PBE level.

```
La8Ge3I3Cl
1.0
4.410 2.546 7.564
-4.410 2.546 7.564
0.000 -5.093 7.564
La Ge I Cl
8 3 3 1
Direct
0.226 0.745 0.745
0.236 0.236 0.236
0.255 0.255 0.774
0.255 0.774 0.255
0.745 0.226 0.745
0.745 0.745 0.226
0.764 0.764 0.764
0.774 0.255 0.255
0.000 0.000 0.500
0.000 0.500 0.000
0.500 0.000 0.000
0.000 0.500 0.500
0.500 0.000 0.500
0.500 0.500 0.000
0.500 0.500 0.500
```

Computed properties:
ρ (g cm⁻³): 5.69
Formation energy without anion corrections (eV per atom): -1.028
Symmetry: R-3m (166)
Crystal system: trigonal

=====

[7]
Below is La6Ge2I3Cl after structural relaxation, with properties calculated at the PBE level.

```
La6Ge2I3Cl
1.0
3.768 -6.537 0.000
3.768 6.537 0.000
-2.522 0.000 7.850
La Ge I Cl
6 2 3 1
Direct
0.067 0.397 0.201
0.262 0.262 0.798
0.397 0.067 0.201
0.603 0.933 0.799
0.738 0.738 0.202
0.933 0.603 0.799
0.334 0.666 0.000
0.666 0.334 0.000
0.171 0.829 0.500
0.500 0.500 0.500
0.829 0.171 0.500
0.000 0.000 0.000
```

Computed properties:
ρ (g cm⁻³): 5.99
Formation energy without anion corrections (eV per atom): -1.176
Symmetry: C2/m (12)
Crystal system: monoclinic

=====

[8]
Below is La4Ge2ICl after structural relaxation, with properties calculated at the PBE level.

```
La4Ge2ICl
1.0
-3.131 3.131 6.155
3.131 -3.131 6.155
3.131 3.131 -6.155
La Ge I Cl
4 2 1 1
Direct
0.000 0.500 0.500
0.242 0.242 0.000
0.500 0.000 0.500
0.758 0.758 0.000
0.250 0.750 0.500
0.750 0.250 0.500
0.500 0.500 0.000
0.000 0.000 0.000
```

Computed properties:
ρ (g cm⁻³): 5.94
Formation energy without anion corrections (eV per atom): -1.143
Symmetry: I4/mmm (139)
Crystal system: tetragonal

=====

[9]
Below is MnGe2ICl after structural relaxation, with properties calculated at the PBE level.

```
MnGe2ICl
1.0
4.796 0.000 0.000
0.000 4.796 0.000
0.000 0.000 5.116
Mn Ge I Cl
1 2 1 1
Direct
0.000 0.000 0.000
0.000 0.500 0.000
0.500 0.000 0.000
0.000 0.000 0.500
0.500 0.500 0.500
```

Computed properties:
ρ (g cm⁻³): 5.12
Formation energy without anion corrections (eV per atom): 0.150
Symmetry: P4/mmm (123)
Crystal system: tetragonal

=====

[10]
Below is GeIN2Cl after structural relaxation, with properties calculated at the PBE level.

```
GeIN2Cl
1.0
4.263 0.000 0.000
0.000 4.263 0.000
0.000 0.000 7.043
Ge I N Cl
1 1 2 1
Direct
0.000 0.000 0.000
0.500 0.500 0.000
0.000 0.500 0.500
0.500 0.000 0.500
0.500 0.500 0.500
```

Computed properties:
ρ (g cm⁻³): 3.41
Formation energy without anion corrections (eV per atom): 2.093
Symmetry: P4/mmm (123)
Crystal system: tetragonal

=====

[11]
Below is GeIN2Cl after structural relaxation, with properties calculated at the PBE level.

```
GeIN2Cl
1.0
3.836 0.000 0.000
0.000 3.836 0.000
0.000 0.000 7.447
Ge I N Cl
1 1 2 1
Direct
0.000 0.000 0.000
0.000 0.000 0.500
0.000 0.500 0.000
0.500 0.000 0.000
0.500 0.500 0.500
```

Computed properties:
ρ (g cm⁻³): 3.99
Formation energy without anion corrections (eV per atom): 1.270
Symmetry: P4/mmm (123)
Crystal system: tetragonal

=====

[12]
Below is NaGeICl2 after structural relaxation, with properties calculated at the PBE level.

```
NaGeICl2
1.0
6.992 0.000 0.000
0.000 5.140 0.000
-2.480 0.000 8.373
Na Ge I Cl
2 2 2 4
Direct
0.223 0.250 0.464
0.777 0.750 0.536
0.191 0.250 0.922
0.809 0.750 0.078
0.476 0.750 0.743
0.524 0.250 0.257
0.048 0.750 0.353
0.090 0.750 0.948
0.910 0.250 0.052
0.952 0.250 0.647
```

Computed properties:
ρ (g cm⁻³): 3.24
Formation energy without anion corrections (eV per atom): -0.950
Symmetry: P2_1/m (11)
Crystal system: monoclinic

=====

Among the records above, which one has the lowest ρ?
InGeICl4